A PBEsol-optimized structure of GaCu3. Source: the Alexandria database, functional SCAN.

Computed properties:
- calculated formation energy (eV per atom) = -0.11
- M_tot (μB per atom) = 0.000

a b c (Å): 3.630 3.630 3.630
angles (deg): 90.00 90.00 90.00
Space group Pm-3m (No. 221)
Inequivalent atoms, fractional coordinates:
Ga  0.000  0.000  0.000 (multiplicity 1)
Cu  0.000  0.500  0.500 (multiplicity 3)


A PBEsol-optimized structure of KHf2GaCu. Source: the Alexandria database, functional SCAN.

Computed properties:
- calculated formation energy (eV per atom) = 2.35
- M_tot (μB per atom) = 0.000

a b c (Å): 4.730 4.730 4.958
angles (deg): 90.00 90.00 90.00
Space group P4/mmm (No. 123)
Inequivalent atoms, fractional coordinates:
K  0.000  0.000  0.000 (multiplicity 1)
Hf  0.000  0.500  0.000 (multiplicity 2)
Ga  0.000  0.000  0.500 (multiplicity 1)
Cu  0.500  0.500  0.500 (multiplicity 1)


A PBEsol-optimized structure of Ga3CuHg. Source: the Alexandria database, functional SCAN.

Computed properties:
- calculated formation energy (eV per atom) = 0.15
- M_tot (μB per atom) = 0.000

a b c (Å): 4.651 4.651 4.651
angles (deg): 90.00 90.00 90.00
Space group Pm-3m (No. 221)
Inequivalent atoms, fractional coordinates:
Ga  0.000  0.000  0.500 (multiplicity 3)
Cu  0.000  0.000  0.000 (multiplicity 1)
Hg  0.500  0.500  0.500 (multiplicity 1)


A PBEsol-optimized structure of Na2GaCuHg. Source: the Alexandria database, functional SCAN.

Computed properties:
- calculated formation energy (eV per atom) = 0.22
- M_tot (μB per atom) = 0.000

a b c (Å): 5.540 5.540 4.475
angles (deg): 90.00 90.00 90.00
Space group P4/mmm (No. 123)
Inequivalent atoms, fractional coordinates:
Na  0.000  0.500  0.000 (multiplicity 2)
Ga  0.000  0.000  0.000 (multiplicity 1)
Cu  0.000  0.000  0.500 (multiplicity 1)
Hg  0.500  0.500  0.500 (multiplicity 1)


A PBEsol-optimized structure of RbGa2CuHg. Source: the Alexandria database, functional SCAN.

Computed properties:
- calculated formation energy (eV per atom) = 0.04
- M_tot (μB per atom) = 0.000

a b c (Å): 4.795 4.795 5.217
angles (deg): 90.00 90.00 90.00
Space group P4/mmm (No. 123)
Inequivalent atoms, fractional coordinates:
Rb  0.000  0.000  0.000 (multiplicity 1)
Ga  0.000  0.500  0.500 (multiplicity 2)
Cu  0.500  0.500  0.500 (multiplicity 1)
Hg  0.500  0.500  0.000 (multiplicity 1)


A PBEsol-optimized structure of GaCuHg2Se. Source: the Alexandria database, functional SCAN.

Computed properties:
- E_form (uncorrected) (eV per formula unit) = 2.40
- M_tot (μB per atom) = 0.000

a b c (Å): 5.509 5.509 4.362
angles (deg): 90.00 90.00 90.00
Space group P4/mmm (No. 123)
Inequivalent atoms, fractional coordinates:
Ga  0.000  0.000  0.000 (multiplicity 1)
Cu  0.500  0.500  0.000 (multiplicity 1)
Hg  0.000  0.500  0.500 (multiplicity 2)
Se  0.500  0.500  0.500 (multiplicity 1)


A PBEsol-optimized structure of Ho2Ga3Cu. Source: the Alexandria database, functional SCAN.

Computed properties:
- calculated formation energy (eV per atom) = -0.71
- M_tot (μB per atom) = 0.000

a b c (Å): 4.2978 4.2978 7.0383
angles (deg): 90.00 90.00 120.00
Space group P3m1 (No. 156)
Inequivalent atoms, fractional coordinates:
Ho  0.0000  0.0000  0.0000 (multiplicity 1)
Ho  0.0000  0.0000  0.4712 (multiplicity 1)
Ga  0.3333  0.6667  0.7812 (multiplicity 1)
Ga  0.6667  0.3333  0.2526 (multiplicity 1)
Ga  0.6667  0.3333  0.6896 (multiplicity 1)
Cu  0.3333  0.6667  0.1982 (multiplicity 1)


A PBEsol-optimized structure of LaGa2CuI. Source: the Alexandria database, functional SCAN.

Computed properties:
- E_form (uncorrected) (eV per formula unit) = 2.77
- M_tot (μB per atom) = 0.000

a b c (Å): 5.545 5.545 4.730
angles (deg): 90.00 90.00 90.00
Space group P4/mmm (No. 123)
Inequivalent atoms, fractional coordinates:
La  0.000  0.000  0.000 (multiplicity 1)
Ga  0.000  0.500  0.500 (multiplicity 2)
Cu  0.500  0.500  0.000 (multiplicity 1)
I  0.500  0.500  0.500 (multiplicity 1)


A PBEsol-optimized structure of GaCuMoI2. Source: the Alexandria database, functional SCAN.

Computed properties:
- E_form (uncorrected) (eV per formula unit) = 3.78
- M_tot (μB per atom) = 0.591

a b c (Å): 5.372 5.372 4.777
angles (deg): 90.00 90.00 90.00
Space group P4/mmm (No. 123)
Inequivalent atoms, fractional coordinates:
Ga  0.000  0.000  0.000 (multiplicity 1)
Cu  0.500  0.500  0.000 (multiplicity 1)
Mo  0.500  0.500  0.500 (multiplicity 1)
I  0.000  0.500  0.500 (multiplicity 2)


A PBEsol-optimized structure of GaCuI2N. Source: the Alexandria database, functional SCAN.

Computed properties:
- E_form (uncorrected) (eV per formula unit) = 3.71
- M_tot (μB per atom) = 0.203

a b c (Å): 5.681 5.681 3.560
angles (deg): 90.00 90.00 90.00
Space group P4/mmm (No. 123)
Inequivalent atoms, fractional coordinates:
Ga  0.000  0.000  0.000 (multiplicity 1)
Cu  0.500  0.500  0.500 (multiplicity 1)
I  0.000  0.500  0.000 (multiplicity 2)
N  0.000  0.000  0.500 (multiplicity 1)


A PBEsol-optimized structure of ScGaCu2I. Source: the Alexandria database, functional SCAN.

Computed properties:
- E_form (uncorrected) (eV per formula unit) = 3.50
- M_tot (μB per atom) = 0.000

a b c (Å): 4.929 4.929 5.445
angles (deg): 90.00 90.00 90.00
Space group P4/mmm (No. 123)
Inequivalent atoms, fractional coordinates:
Sc  0.000  0.000  0.000 (multiplicity 1)
Ga  0.500  0.500  0.500 (multiplicity 1)
Cu  0.000  0.500  0.000 (multiplicity 2)
I  0.000  0.000  0.500 (multiplicity 1)


A PBEsol-optimized structure of GaCuTe2I. Source: the Alexandria database, functional SCAN.

Computed properties:
- E_form (uncorrected) (eV per formula unit) = 1.45
- M_tot (μB per atom) = 0.000

a b c (Å): 5.089 5.089 5.403
angles (deg): 90.00 90.00 90.00
Space group P4/mmm (No. 123)
Inequivalent atoms, fractional coordinates:
Ga  0.000  0.000  0.000 (multiplicity 1)
Cu  0.500  0.500  0.500 (multiplicity 1)
Te  0.000  0.500  0.500 (multiplicity 2)
I  0.500  0.500  0.000 (multiplicity 1)


A PBEsol-optimized structure of In3GaCu. Source: the Alexandria database, functional SCAN.

Computed properties:
- calculated formation energy (eV per atom) = 0.67
- M_tot (μB per atom) = 0.000

a b c (Å): 5.192 5.192 5.192
angles (deg): 90.00 90.00 90.00
Space group Pm-3m (No. 221)
Inequivalent atoms, fractional coordinates:
In  0.000  0.000  0.500 (multiplicity 3)
Ga  0.000  0.000  0.000 (multiplicity 1)
Cu  0.500  0.500  0.500 (multiplicity 1)


A PBEsol-optimized structure of InGaCu2Pd. Source: the Alexandria database, functional SCAN.

Computed properties:
- calculated formation energy (eV per atom) = 0.42
- M_tot (μB per atom) = 0.000

a b c (Å): 4.707 4.707 4.582
angles (deg): 90.00 90.00 90.00
Space group P4/mmm (No. 123)
Inequivalent atoms, fractional coordinates:
In  0.000  0.000  0.000 (multiplicity 1)
Ga  0.500  0.500  0.000 (multiplicity 1)
Cu  0.000  0.500  0.500 (multiplicity 2)
Pd  0.500  0.500  0.500 (multiplicity 1)


A PBEsol-optimized structure of InGaCu2Se4. Source: the Alexandria database, functional SCAN.

Computed properties:
- E_form (uncorrected) (eV per formula unit) = -4.02
- M_tot (μB per atom) = 0.000

a b c (Å): 5.662 5.662 11.354
angles (deg): 90.00 90.00 90.00
Space group I-4 (No. 82)
Inequivalent atoms, fractional coordinates:
In  0.000  0.000  0.000 (multiplicity 2)
Ga  0.000  0.500  0.250 (multiplicity 2)
Cu  0.000  0.000  0.500 (multiplicity 2)
Cu  0.000  0.500  0.750 (multiplicity 2)
Se  0.229  0.764  0.631 (multiplicity 8)


A PBEsol-optimized structure of Ga3CuIr. Source: the Alexandria database, functional SCAN.

Computed properties:
- calculated formation energy (eV per atom) = 0.10
- M_tot (μB per atom) = 0.000

a b c (Å): 4.718 4.718 4.718
angles (deg): 90.00 90.00 90.00
Space group Pm-3m (No. 221)
Inequivalent atoms, fractional coordinates:
Ga  0.000  0.000  0.500 (multiplicity 3)
Cu  0.500  0.500  0.500 (multiplicity 1)
Ir  0.000  0.000  0.000 (multiplicity 1)


A PBEsol-optimized structure of GaCuIr2W. Source: the Alexandria database, functional SCAN.

Computed properties:
- calculated formation energy (eV per atom) = 1.64
- M_tot (μB per atom) = 0.000

a b c (Å): 4.697 4.697 4.690
angles (deg): 90.00 90.00 90.00
Space group P4/mmm (No. 123)
Inequivalent atoms, fractional coordinates:
Ga  0.000  0.000  0.000 (multiplicity 1)
Cu  0.500  0.500  0.000 (multiplicity 1)
Ir  0.000  0.500  0.500 (multiplicity 2)
W  0.500  0.500  0.500 (multiplicity 1)


A PBEsol-optimized structure of LaGa2Cu2. Source: the Alexandria database, functional SCAN.

Computed properties:
- calculated formation energy (eV per atom) = -0.53
- M_tot (μB per atom) = 0.000

a b c (Å): 4.313 4.313 9.593
angles (deg): 90.00 90.00 90.00
Space group I4/mmm (No. 139)
Inequivalent atoms, fractional coordinates:
La  0.000  0.000  0.000 (multiplicity 2)
Ga  0.000  0.000  0.370 (multiplicity 4)
Cu  0.000  0.500  0.250 (multiplicity 4)


A PBEsol-optimized structure of La2Ga5Cu3. Source: the Alexandria database, functional SCAN.

Computed properties:
- calculated formation energy (eV per atom) = -0.58
- M_tot (μB per atom) = 0.000

a b c (Å): 4.246 4.246 10.077
angles (deg): 90.00 90.00 90.00
Space group P-4m2 (No. 115)
Inequivalent atoms, fractional coordinates:
La  0.000  0.500  0.244 (multiplicity 2)
Ga  0.000  0.000  0.500 (multiplicity 1)
Ga  0.000  0.500  0.635 (multiplicity 2)
Ga  0.000  0.500  0.883 (multiplicity 2)
Cu  0.000  0.000  0.000 (multiplicity 1)
Cu  0.500  0.500  0.000 (multiplicity 1)
Cu  0.500  0.500  0.500 (multiplicity 1)


A PBEsol-optimized structure of SrLaGaCuO5. Source: the Alexandria database, functional SCAN.

Computed properties:
- E_form (uncorrected) (eV per formula unit) = -22.65
- M_tot (μB per atom) = 0.000

a b c (Å): 7.621 16.483 5.277
angles (deg): 90.00 133.69 90.00
Space group Cm (No. 8)
Inequivalent atoms, fractional coordinates:
Sr  0.000  0.140  0.000 (multiplicity 4)
La  0.035  0.353  0.038 (multiplicity 4)
Ga  0.074  0.000  0.616 (multiplicity 2)
Ga  0.442  0.000  0.476 (multiplicity 2)
Cu  0.018  0.250  0.518 (multiplicity 4)
O  0.059  0.399  0.521 (multiplicity 4)
O  0.128  0.000  0.022 (multiplicity 2)
O  0.265  0.246  0.017 (multiplicity 4)
O  0.270  0.244  0.521 (multiplicity 4)
O  0.394  0.000  0.791 (multiplicity 2)
O  0.442  0.401  0.414 (multiplicity 4)


A PBEsol-optimized structure of Sr2LaGaCu2O7. Source: the Alexandria database, functional SCAN.

Computed properties:
- E_form (uncorrected) (eV per formula unit) = -30.58
- M_tot (μB per atom) = 0.000

a b c (Å): 23.012 5.532 5.408
angles (deg): 90.00 90.00 90.00
Space group Ima2 (No. 46)
Inequivalent atoms, fractional coordinates:
Sr  0.153  0.018  0.000 (multiplicity 8)
La  0.000  0.000  0.003 (multiplicity 4)
Ga  0.250  0.570  0.965 (multiplicity 4)
Cu  0.078  0.501  0.003 (multiplicity 8)
O  0.068  0.248  0.252 (multiplicity 8)
O  0.070  0.750  0.253 (multiplicity 8)
O  0.177  0.048  0.531 (multiplicity 8)
O  0.250  0.621  0.617 (multiplicity 4)


A PBEsol-optimized structure of LiGa2Cu2. Source: the Alexandria database, functional SCAN.

Computed properties:
- calculated formation energy (eV per atom) = -0.21
- M_tot (μB per atom) = 0.000

a b c (Å): 7.236 7.236 2.654
angles (deg): 90.00 90.00 90.00
Space group P4/mbm (No. 127)
Inequivalent atoms, fractional coordinates:
Li  0.000  0.000  0.000 (multiplicity 2)
Ga  0.131  0.369  0.000 (multiplicity 4)
Cu  0.169  0.669  0.500 (multiplicity 4)


A PBEsol-optimized structure of LuGaCu2. Source: the Alexandria database, functional SCAN.

Computed properties:
- calculated formation energy (eV per atom) = -0.43
- M_tot (μB per atom) = 0.000

a b c (Å): 6.227 6.227 6.227
angles (deg): 90.00 90.00 90.00
Space group Fm-3m (No. 225)
Inequivalent atoms, fractional coordinates:
Lu  0.000  0.000  0.000 (multiplicity 4)
Ga  0.000  0.000  0.500 (multiplicity 4)
Cu  0.250  0.250  0.250 (multiplicity 8)


A PBEsol-optimized structure of LuGaCuO4. Source: the Alexandria database, functional SCAN.

Computed properties:
- E_form (uncorrected) (eV per formula unit) = -16.46
- M_tot (μB per atom) = 0.143

a b c (Å): 3.4362 3.4362 23.8728
angles (deg): 90.00 90.00 120.00
Space group R3m (No. 160, hexagonal axes)
Inequivalent atoms, fractional coordinates:
Lu  0.0000  0.0000  0.0000 (multiplicity 3)
Ga  0.0000  0.0000  0.7904 (multiplicity 3)
Cu  0.0000  0.0000  0.2153 (multiplicity 3)
O  0.0000  0.0000  0.1281 (multiplicity 3)
O  0.0000  0.0000  0.2962 (multiplicity 3)
O  0.0000  0.0000  0.7120 (multiplicity 3)
O  0.0000  0.0000  0.8710 (multiplicity 3)


A PBEsol-optimized structure of MgGaCu. Source: the Alexandria database, functional SCAN.

Computed properties:
- calculated formation energy (eV per atom) = -0.25
- M_tot (μB per atom) = 0.000

a b c (Å): 8.177 5.130 8.751
angles (deg): 90.00 90.00 90.00
Space group Amm2 (No. 38)
Inequivalent atoms, fractional coordinates:
Mg  0.180  0.000  0.000 (multiplicity 4)
Mg  0.297  0.000  0.330 (multiplicity 4)
Ga  0.000  0.000  0.507 (multiplicity 2)
Ga  0.500  0.000  0.835 (multiplicity 2)
Ga  0.500  0.249  0.082 (multiplicity 4)
Cu  0.000  0.248  0.257 (multiplicity 4)
Cu  0.251  0.000  0.669 (multiplicity 4)